The following is a PBE with a Hubbard U calculation of crystalline CoSeNF2 at its relaxed geometry, from the Alexandria database.

Unit cell a=4.4808 b=4.4808 c=3.7021 alpha=90.00 beta=90.00 gamma=90.00
Space group P4/mmm (No. 123)
One atom of each set of equivalent atoms:
Co: 0.0000 0.0000 0.0000
Se: 0.5000 0.5000 0.5000
N: 0.5000 0.5000 0.0000
F: 0.0000 0.5000 0.5000

The polymorph energy (0 for the lowest one) is 384 meV/atom. As for the crystal system: tetragonal. For the raw total energy, the calculation gives -3.82 eV per atom.